Entry 1:
LaSnS2N | PBE | optimized geometry

Cell: 5.070 5.070 4.052 Å, 90.00 90.00 90.00°
Space group P4/mmm (No. 123)
Unique sites:
1 La 0.000 0.000 0.000
2 Sn 0.500 0.500 0.500
3 S 0.000 0.500 0.500
4 N 0.500 0.500 0.000

Properties
Raw total energy in eV per atom: -5.607
Uncorrected formation energy in eV per atom: -0.505
Excess energy over the best structure of this formula in the dataset in eV per atom: 0.000


Entry 2:
ReAs2CSe | PBE | optimized geometry

Cell: 4.232 4.232 4.215 Å, 90.00 90.00 90.00°
Space group P4/mmm (No. 123)
Unique sites:
1 Re 0.000 0.000 0.000
2 As 0.000 0.500 0.500
3 C 0.500 0.500 0.500
4 Se 0.500 0.500 0.000

Properties
Raw total energy in eV per atom: -5.459
Uncorrected formation energy in eV per atom: 1.432
Excess energy over the best structure of this formula in the dataset in eV per atom: 0.000


Entry 3:
Li4Ge6Pd7 | PBE | optimized geometry

Cell: 8.165 8.165 8.165 Å, 90.00 90.00 90.00°
Space group Im-3m (No. 229)
Unique sites:
1 Li 0.250 0.250 0.250
2 Ge 0.000 0.000 0.311
3 Pd 0.000 0.000 0.000
4 Pd 0.000 0.250 0.500

Properties
Raw total energy in eV per atom: -4.745
Calculated formation energy in eV per formula unit: -8.960


Entry 4:
PrGa8Ni2 | PBE | optimized geometry

Cell: 5.626 5.626 7.820 Å, 90.00 90.00 90.00°
Space group P4/mmm (No. 123)
Unique sites:
1 Pr 0.000 0.000 0.000
2 Ga 0.252 0.252 0.315
3 Ni 0.000 0.500 0.500

Properties
Raw total energy in eV per atom: -3.754
Calculated formation energy in eV per formula unit: -0.739


Entry 5:
IrPb3Se | PBE | optimized geometry

Cell: 5.544 5.544 5.544 Å, 90.00 90.00 90.00°
Space group Pm-3m (No. 221)
Unique sites:
1 Ir 0.000 0.000 0.000
2 Pb 0.000 0.500 0.500
3 Se 0.500 0.500 0.500

Properties
Raw total energy in eV per atom: -3.620
Uncorrected formation energy in eV per atom: 1.074
Excess energy over the best structure of this formula in the dataset in eV per atom: 0.982


Entry 6:
PrDy2Y3Er6 | PBE | optimized geometry

Cell: 6.146 10.633 11.749 Å, 90.00 100.00 90.00°
Space group C2/m (No. 12)
Unique sites:
1 Pr 0.000 0.000 0.000
2 Dy 0.000 0.333 0.000
3 Y 0.000 0.167 0.500
4 Y 0.000 0.500 0.500
5 Er 0.249 0.333 0.749
6 Er 0.250 0.000 0.749

Properties
Raw total energy in eV per atom: -5.040
Calculated formation energy in eV per formula unit: 0.275


Entry 7:
Nb4RuRh5 | PBE | optimized geometry

Cell: 4.794 5.589 6.377 Å, 76.12 74.31 76.13°
Space group P-1 (No. 2)
Unique sites:
1 Nb 0.132 0.382 0.308
2 Nb 0.310 0.192 0.875
3 Ru 0.500 0.500 0.500
4 Rh 0.102 0.904 0.296
5 Rh 0.284 0.691 0.905
6 Rh 0.500 0.000 0.500

Properties
Raw total energy in eV per atom: -9.035
Calculated formation energy in eV per formula unit: -4.039


Entry 8:
CoNi | PBE | optimized geometry

Cell: 6.567 6.746 8.667 Å, 90.00 90.00 90.00°
Space group Fddd (No. 70, origin choice 2)
Unique sites:
1 Co 0.044 0.375 0.375
2 Ni 0.125 0.296 0.625

Properties
Raw total energy in eV per atom: -5.987
Calculated formation energy in eV per formula unit: 0.913


- Among the records above, which one has the highest raw total energy?
  IrPb3Se


- The lowest raw total energy belongs to which entry?
  Nb4RuRh5


- Among the records above, which one has the highest raw total energy?
  IrPb3Se